Crystalline NpVSbPd at its relaxed geometry. Source: the Alexandria database, functional GGA-PBE.

Cell: 4.7592 4.7592 4.7592 Å, 60.00 60.00 60.00°
Closest atoms and distances in Å follow each position.
Positions (direct):
Np  0.2500  0.2500  0.2500  4 Pd 2.91, 4 V 2.91
Sb  0.7500  0.7500  0.7500  4 Pd 2.91, 4 V 2.91
Pd  0.0000  0.0000  0.0000  4 Sb 2.91, 4 Np 2.91
V  0.5000  0.5000  0.5000  4 Np 2.91, 4 Sb 2.91

Properties
magnetization	2.2	μB per formula unit
raw formation energy	3.2	kJ/mol of atoms

***

Crystalline KSrAgF4 at its relaxed geometry. Source: the Alexandria database, functional GGA-PBE.

Cell: 7.4175 7.4769 7.5838 Å, 120.47 90.00 119.74°
Closest atoms and distances in Å follow each position.
Positions (direct):
K  0.8632  0.7265  0.1132  4 F 2.56-2.60
K  0.1368  0.2735  0.8868  4 F 2.56-2.60
Sr  0.5000  0.0000  0.5000  6 F 2.43-2.44
Sr  0.5000  0.0000  0.0000  6 F 2.43-2.44
Ag  0.5000  0.5000  0.5000  6 F 2.47-2.75
Ag  0.0000  0.5000  0.5000  6 F 2.47-2.75
F  0.7291  0.4582  0.6917  1 Sr 2.43, 2 Ag 2.47, 1 K 2.60
F  0.2842  0.9817  0.2409  2 Sr 2.44, 1 K 2.56
F  0.6975  0.9817  0.2409  2 Sr 2.44, 1 K 2.56
F  0.7291  0.4582  0.2664  1 Sr 2.43, 2 Ag 2.47, 1 K 2.60
F  0.2709  0.5418  0.7336  1 Sr 2.43, 2 Ag 2.47, 1 K 2.60
F  0.7158  0.0183  0.7591  2 Sr 2.44, 1 K 2.56
F  0.3025  0.0183  0.7591  2 Sr 2.44, 1 K 2.56
F  0.2709  0.5418  0.3083  1 Sr 2.43, 2 Ag 2.47, 1 K 2.60

Properties
magnetization	0.0	μB per formula unit
raw formation energy	-259.5	kJ/mol of atoms